# PBE Zn2Ge2Au, optimized geometry
data_Zn2Ge2Au
_chemical_formula_sum 'Zn4 Ge4 Au2'
_cell_length_a 6.818
_cell_length_b 6.818
_cell_length_c 3.902
_cell_angle_alpha 90.00
_cell_angle_beta 90.00
_cell_angle_gamma 90.00
_space_group_name_H-M_alt 'P 1'
_space_group_IT_number 1
loop_
_space_group_symop_operation_xyz
'x,y,z'
loop_
_atom_site_label
_atom_site_fract_x
_atom_site_fract_y
_atom_site_fract_z
_atom_site_occupancy
Zn1 0.638 0.138 0.000 1
Zn2 0.862 0.638 0.000 1
Ge1 0.159 0.659 0.500 1
Ge2 0.841 0.341 0.500 1
Ge3 0.341 0.159 0.500 1
Au1 0.500 0.500 0.000 1
Ge4 0.659 0.841 0.500 1
Zn3 0.362 0.862 0.000 1
Zn4 0.138 0.362 0.000 1
Au2 0.000 0.000 0.000 1
# M_tot (μB/f.u.): 0.000
# Energy relative to the elements (eV/atom): 0.140
# Excess energy over the best structure of this formula in the dataset (eV/atom): 0.000
# DOS at the Fermi energy (states/eV per atom): 0.434
# Crystal system: tetragonal
# Electronic total energy (eV/f.u.): -14.358

# PBE TaRe2Tc, optimized geometry
data_TaRe2Tc
_chemical_formula_sum 'Ta1 Re2 Tc1'
_cell_length_a 4.848
_cell_length_b 4.848
_cell_length_c 4.848
_cell_angle_alpha 131.36
_cell_angle_beta 131.36
_cell_angle_gamma 71.25
_space_group_name_H-M_alt 'P 1'
_space_group_IT_number 1
loop_
_space_group_symop_operation_xyz
'x,y,z'
loop_
_atom_site_label
_atom_site_fract_x
_atom_site_fract_y
_atom_site_fract_z
_atom_site_occupancy
Re1 0.250 0.750 0.500 1
Re2 0.000 0.000 0.000 1
Ta1 0.500 0.500 0.000 1
Tc1 0.750 0.250 0.500 1
# M_tot (μB/f.u.): 0.000
# Energy relative to the elements (eV/atom): 0.074
# Excess energy over the best structure of this formula in the dataset (eV/atom): 0.144
# DOS at the Fermi energy (states/eV per atom): 1.182
# Crystal system: tetragonal
# Electronic total energy (eV/f.u.): -46.819